# Ce4PdPt3

A relaxed structure of Ce4PdPt3 (PBE-GGA, Alexandria via LeMat-Bulk).

formation energy = -991.2 meV/atom
total DFT energy (no corrections) = -54.98 eV for the cell shown
space-group type = Pmm2 (25)

a b c (Å): 3.8435 4.4343 11.0820
angles (deg): 90.00 90.00 90.00
Last column: nearest neighbours and their distance in Å.
Positions (direct):
Ce 0.5000 0.5000 0.3660  6 Pt 2.96-3.18, 1 Pd 3.04
Ce 0.0000 0.5000 0.8621  5 Pt 2.96-2.98, 2 Pd 3.19
Ce 0.0000 0.0000 0.1364  3 Pt 2.97-3.18, 4 Pd 2.98
Ce 0.5000 0.0000 0.6373  7 Pt 2.97-3.22
Pd 0.5000 0.5000 0.0917  7 Ce 2.98-3.19, 2 Pt 3.02
Pt 0.0000 0.5000 0.5949  7 Ce 2.96-3.18, 2 Pt 3.06
Pt 0.0000 0.0000 0.4043  7 Ce 2.96-3.22, 2 Pt 3.06
Pt 0.5000 0.0000 0.9073  7 Ce 2.98-3.18, 2 Pd 3.02